A plane-wave DFT calculation with PBE-GGA was carried out for ZnSiHg2 after structural relaxation.

Output
ρ	9.9	g/cm³
energy	-21.9	eV for the cell shown

```
data_ZnSiHg2
_space_group_name_H-M_alt 'F -4 3 m'
_space_group_IT_number 216
_space_group_name_Hall 'F -4 2 3'
_cell_length_a 6.913
_cell_length_b 6.913
_cell_length_c 6.913
_cell_angle_alpha 90.00
_cell_angle_beta 90.00
_cell_angle_gamma 90.00
loop_
_atom_site_label
_atom_site_fract_x
_atom_site_fract_y
_atom_site_fract_z
Zn1 0.000 0.000 0.000
Si1 0.250 0.250 0.750
Hg1 0.000 0.000 0.500
Hg2 0.250 0.250 0.250
```